A plane-wave DFT calculation with GGA-PBE was carried out for Pm8TeP6 after structural relaxation.

Cell lengths 10.6515, 10.6515, 4.2546 Å; angles 90.00, 90.00, 120.00 degrees
Space group P-3 (No. 147)
Symmetry-distinct sites (fractional):
Pm 0.0342 0.3501 0.2566 x6
Pm 0.3333 0.6667 0.7484 x2
Te 0.0000 0.0000 0.5000 x1
P 0.1373 0.6592 0.2447 x6

Results
**Total energy**: -6.190 eV per atom
**Theoretical density**: 5.85 g/cm³